Arrangement a

{
  "formula": "Rb3HgCl6",
  "functional": "PBE-GGA",
  "state": "relaxed",
  "lattice": [[-4.0167, 4.0167, 5.6727], [4.0167, -4.0167, 5.6727], [4.0167, 4.0167, -5.6727]],
  "species": ["Rb", "Rb", "Rb", "Hg", "Cl", "Cl", "Cl", "Cl", "Cl", "Cl"],
  "frac_coords": [[0.0000, 0.0000, 0.0000], [0.2500, 0.7500, 0.5000], [0.7500, 0.2500, 0.5000], [0.5000, 0.5000, 0.0000], [0.2703, 0.2703, 0.5407], [0.2703, 0.7297, 0.0000], [0.2707, 0.2707, 0.0000], [0.7293, 0.7293, 0.0000], [0.7297, 0.2703, 0.0000], [0.7297, 0.7297, 0.4593]],
  "space_group": "I4/mmm",
  "crystal_system": "tetragonal"
}


Arrangement b

{
  "formula": "Rb3HgCl6",
  "functional": "PBE-GGA",
  "state": "relaxed",
  "lattice": [[6.5444, 3.7784, 5.1386], [-6.5444, 3.7784, 5.1386], [0.0000, -7.5568, 5.1386]],
  "species": ["Rb", "Rb", "Rb", "Rb", "Rb", "Rb", "Hg", "Hg", "Cl", "Cl", "Cl", "Cl", "Cl", "Cl", "Cl", "Cl", "Cl", "Cl", "Cl", "Cl"],
  "frac_coords": [[0.0701, 0.5772, 0.7504], [0.2496, 0.9299, 0.4228], [0.4228, 0.2496, 0.9299], [0.5772, 0.7504, 0.0701], [0.7504, 0.0701, 0.5772], [0.9299, 0.4228, 0.2496], [0.0000, 0.0000, 0.0000], [0.5000, 0.5000, 0.5000], [0.0484, 0.9346, 0.7212], [0.0654, 0.2788, 0.9516], [0.2272, 0.5618, 0.4246], [0.2788, 0.9516, 0.0654], [0.4246, 0.2272, 0.5618], [0.4382, 0.5754, 0.7728], [0.5618, 0.4246, 0.2272], [0.5754, 0.7728, 0.4382], [0.7212, 0.0484, 0.9346], [0.7728, 0.4382, 0.5754], [0.9346, 0.7212, 0.0484], [0.9516, 0.0654, 0.2788]],
  "space_group": "R-3",
  "crystal_system": "trigonal"
}


Which is most stable? The ranking, best first, is arrangement b, arrangement a.


Arrangement a

{
  "formula": "Rb2Hg2Cl",
  "functional": "PBE-GGA",
  "state": "relaxed",
  "lattice": [[9.2084, 0.0000, 0.0000], [0.0000, 9.2084, 0.0000], [0.0000, 0.0000, 4.9437]],
  "species": ["Rb", "Rb", "Rb", "Rb", "Hg", "Hg", "Hg", "Hg", "Cl", "Cl"],
  "frac_coords": [[0.1898, 0.3102, 0.0000], [0.3102, 0.8102, 0.0000], [0.6898, 0.1898, 0.0000], [0.8102, 0.6898, 0.0000], [0.1151, 0.6151, 0.5000], [0.3849, 0.1151, 0.5000], [0.6151, 0.8849, 0.5000], [0.8849, 0.3849, 0.5000], [0.0000, 0.0000, 0.5000], [0.5000, 0.5000, 0.5000]],
  "space_group": "P4/mbm",
  "crystal_system": "tetragonal"
}


Arrangement b

{
  "formula": "Rb2Hg2Cl",
  "functional": "PBE-GGA",
  "state": "relaxed",
  "lattice": [[8.9430, 0.0000, 0.0000], [0.0000, 8.9430, 0.0000], [0.0000, 0.0000, 5.8585]],
  "species": ["Rb", "Rb", "Rb", "Rb", "Hg", "Hg", "Hg", "Hg", "Cl", "Cl"],
  "frac_coords": [[0.1926, 0.3074, 0.0000], [0.3074, 0.8074, 0.0000], [0.6926, 0.1926, 0.0000], [0.8074, 0.6926, 0.0000], [0.1217, 0.6217, 0.5000], [0.3783, 0.1217, 0.5000], [0.6217, 0.8783, 0.5000], [0.8783, 0.3783, 0.5000], [0.0000, 0.0000, 0.0000], [0.5000, 0.5000, 0.0000]],
  "space_group": "P4/mbm",
  "crystal_system": "tetragonal"
}


Arrangement c

{
  "formula": "Rb2Hg2Cl",
  "functional": "PBE-GGA",
  "state": "relaxed",
  "lattice": [[-2.1708, 2.1708, 9.9875], [2.1708, -2.1708, 9.9875], [2.1708, 2.1708, -9.9875]],
  "species": ["Rb", "Rb", "Hg", "Hg", "Cl"],
  "frac_coords": [[0.0949, 0.0949, 0.0000], [0.9051, 0.9051, 0.0000], [0.2500, 0.7500, 0.5000], [0.7500, 0.2500, 0.5000], [0.5000, 0.5000, 0.0000]],
  "space_group": "I4/mmm",
  "crystal_system": "tetragonal"
}


Which is most stable? The ranking, best first, is arrangement c, arrangement b, arrangement a.


Arrangement a

{
  "formula": "RbHgCl",
  "functional": "PBE-GGA",
  "state": "relaxed",
  "lattice": [[3.2913, -3.2877, 0.0000], [3.2913, 3.2877, 0.0000], [-1.5160, 0.0000, 11.0467]],
  "species": ["Rb", "Rb", "Hg", "Hg", "Cl", "Cl"],
  "frac_coords": [[0.2139, 0.2139, 0.3472], [0.7861, 0.7861, 0.6528], [0.2469, 0.2469, 0.9590], [0.7531, 0.7531, 0.0410], [0.2858, 0.2858, 0.6474], [0.7142, 0.7142, 0.3526]],
  "space_group": "C2/m",
  "crystal_system": "monoclinic"
}


Arrangement b

{
  "formula": "RbHgCl",
  "functional": "PBE-GGA",
  "state": "relaxed",
  "lattice": [[5.1246, 0.0000, 0.0000], [-2.5623, 4.4380, 0.0000], [0.0000, 0.0000, 5.8613]],
  "species": ["Rb", "Hg", "Cl"],
  "frac_coords": [[0.0000, 0.0000, 0.0000], [0.6667, 0.3333, 0.4462], [0.3333, 0.6667, 0.8054]],
  "space_group": "P3m1",
  "crystal_system": "trigonal"
}


Arrangement c

{
  "formula": "RbHgCl",
  "functional": "PBE-GGA",
  "state": "relaxed",
  "lattice": [[-2.2756, 2.2756, 7.5242], [2.2756, -2.2756, 7.5242], [2.2756, 2.2756, -7.5242]],
  "species": ["Rb", "Hg", "Cl"],
  "frac_coords": [[0.0000, 0.0000, 0.0000], [0.2585, 0.2585, 0.0000], [0.4825, 0.4825, 0.0000]],
  "space_group": "I4mm",
  "crystal_system": "tetragonal"
}


Which is most stable? The ranking, best first, is arrangement a, arrangement c, arrangement b.


Arrangement a

{
  "formula": "RbHg3Cl",
  "functional": "PBE-GGA",
  "state": "relaxed",
  "lattice": [[6.8025, 0.0000, 0.0000], [0.0000, 6.8025, 0.0000], [0.0000, 0.0000, 6.8025]],
  "species": ["Rb", "Hg", "Hg", "Hg", "Cl"],
  "frac_coords": [[0.0000, 0.0000, 0.0000], [0.0000, 0.0000, 0.5000], [0.0000, 0.5000, 0.0000], [0.5000, 0.0000, 0.0000], [0.5000, 0.5000, 0.5000]],
  "space_group": "Pm-3m",
  "crystal_system": "cubic"
}


Arrangement b

{
  "formula": "RbHg3Cl",
  "functional": "PBE-GGA",
  "state": "relaxed",
  "lattice": [[6.3955, 0.0000, 0.0000], [0.0000, 6.3955, 0.0000], [0.0000, 0.0000, 6.3955]],
  "species": ["Rb", "Hg", "Hg", "Hg", "Cl"],
  "frac_coords": [[0.0000, 0.0000, 0.0000], [0.0000, 0.5000, 0.5000], [0.5000, 0.0000, 0.5000], [0.5000, 0.5000, 0.0000], [0.5000, 0.5000, 0.5000]],
  "space_group": "Pm-3m",
  "crystal_system": "cubic"
}


Which is most stable? The ranking, best first, is arrangement b, arrangement a.


Arrangement a

{
  "formula": "RbHg6Cl12",
  "functional": "PBE-GGA",
  "state": "relaxed",
  "lattice": [[8.9910, 5.1909, 2.4800], [-8.9910, 5.1909, 2.4800], [0.0000, -10.3819, 2.4800]],
  "species": ["Rb", "Hg", "Hg", "Hg", "Hg", "Hg", "Hg", "Cl", "Cl", "Cl", "Cl", "Cl", "Cl", "Cl", "Cl", "Cl", "Cl", "Cl", "Cl"],
  "frac_coords": [[0.0000, 0.0000, 0.0000], [0.2651, 0.2651, 0.7302], [0.2651, 0.7302, 0.2651], [0.2698, 0.7349, 0.7349], [0.7302, 0.2651, 0.2651], [0.7349, 0.2698, 0.7349], [0.7349, 0.7349, 0.2698], [0.0961, 0.5000, 0.9039], [0.0961, 0.9039, 0.5000], [0.0967, 0.4158, 0.4158], [0.4158, 0.0967, 0.4158], [0.4158, 0.4158, 0.0967], [0.5000, 0.0961, 0.9039], [0.5000, 0.9039, 0.0961], [0.5842, 0.5842, 0.9033], [0.5842, 0.9033, 0.5842], [0.9033, 0.5842, 0.5842], [0.9039, 0.0961, 0.5000], [0.9039, 0.5000, 0.0961]],
  "space_group": "R-3m",
  "crystal_system": "trigonal"
}


Arrangement b

{
  "formula": "RbHg6Cl12",
  "functional": "PBE-GGA",
  "state": "relaxed",
  "lattice": [[7.6231, 4.4012, 3.1418], [-7.6231, 4.4012, 3.1418], [0.0000, -8.8023, 3.1418]],
  "species": ["Rb", "Hg", "Hg", "Hg", "Hg", "Hg", "Hg", "Cl", "Cl", "Cl", "Cl", "Cl", "Cl", "Cl", "Cl", "Cl", "Cl", "Cl", "Cl"],
  "frac_coords": [[0.0000, 0.0000, 0.0000], [0.1647, 0.3317, 0.6001], [0.3317, 0.6001, 0.1647], [0.3999, 0.8353, 0.6683], [0.6001, 0.1647, 0.3317], [0.6683, 0.3999, 0.8353], [0.8353, 0.6683, 0.3999], [0.0869, 0.3398, 0.9104], [0.0896, 0.9131, 0.6602], [0.1664, 0.5648, 0.4116], [0.3398, 0.9104, 0.0869], [0.4117, 0.1664, 0.5648], [0.4352, 0.5883, 0.8336], [0.5648, 0.4117, 0.1664], [0.5883, 0.8336, 0.4352], [0.6602, 0.0896, 0.9131], [0.8336, 0.4352, 0.5883], [0.9104, 0.0869, 0.3398], [0.9131, 0.6602, 0.0896]],
  "space_group": "R-3",
  "crystal_system": "trigonal"
}


Which is most stable? The ranking, best first, is arrangement b, arrangement a.


Arrangement a

{
  "formula": "Rb2Hg2Cl7",
  "functional": "PBE-GGA",
  "state": "relaxed",
  "lattice": [[5.4830, -7.5641, 0.0000], [5.4830, 7.5641, 0.0000], [-0.2776, 0.0000, 6.0089]],
  "species": ["Rb", "Rb", "Hg", "Hg", "Cl", "Cl", "Cl", "Cl", "Cl", "Cl", "Cl"],
  "frac_coords": [[0.1844, 0.8156, 0.0000], [0.8156, 0.1844, 0.0000], [0.3158, 0.3158, 0.2016], [0.6842, 0.6842, 0.7984], [0.0651, 0.0651, 0.3203], [0.1457, 0.4548, 0.1186], [0.4548, 0.1457, 0.1186], [0.5000, 0.5000, 0.5000], [0.5452, 0.8543, 0.8814], [0.8543, 0.5452, 0.8814], [0.9349, 0.9349, 0.6797]],
  "space_group": "C2/m",
  "crystal_system": "monoclinic"
}


Arrangement b

{
  "formula": "Rb2Hg2Cl7",
  "functional": "PBE-GGA",
  "state": "relaxed",
  "lattice": [[4.3414, -5.1173, 0.0000], [4.3414, 5.1173, 0.0000], [0.0000, 0.0000, 7.6309]],
  "species": ["Rb", "Rb", "Hg", "Hg", "Cl", "Cl", "Cl", "Cl", "Cl", "Cl", "Cl"],
  "frac_coords": [[0.2267, 0.2267, 0.0000], [0.7733, 0.7733, 0.0000], [0.2684, 0.7316, 0.5000], [0.7316, 0.2684, 0.5000], [0.0000, 0.0000, 0.5000], [0.0000, 0.5000, 0.2727], [0.0000, 0.5000, 0.7273], [0.5000, 0.0000, 0.2727], [0.5000, 0.0000, 0.7273], [0.5000, 0.5000, 0.2836], [0.5000, 0.5000, 0.7164]],
  "space_group": "Cmmm",
  "crystal_system": "orthorhombic"
}


Which is most stable? The ranking, best first, is arrangement a, arrangement b.